1.
# Ta2TlPd9 | the Alexandria database | PBE | relaxed
# DFT formation energy, meV per atom: -382
# DOS at the Fermi energy, states/eV/f.u.: 7.0
data_Ta2TlPd9
_chemical_formula_sum 'Ta2 Tl1 Pd9'
_cell_length_a 3.999
_cell_length_b 3.999
_cell_length_c 12.086
_cell_angle_alpha 90.00
_cell_angle_beta 90.00
_cell_angle_gamma 90.00
_symmetry_space_group_name_H-M 'P 1'
_symmetry_Int_Tables_number 1
_symmetry_space_group_name_Hall 'P 1'
loop_
_atom_site_label
_atom_site_fract_x
_atom_site_fract_y
_atom_site_fract_z
_atom_site_occupancy
Ta1 0.000 0.000 0.331 1
Ta2 0.000 0.000 0.669 1
Tl1 0.000 0.000 0.000 1
Pd1 0.500 0.500 0.000 1
Pd2 0.500 0.500 0.340 1
Pd3 0.500 0.500 0.660 1
Pd4 0.500 0.000 0.181 1
Pd5 0.500 0.000 0.500 1
Pd6 0.500 0.000 0.819 1
Pd7 0.000 0.500 0.181 1
Pd8 0.000 0.500 0.500 1
Pd9 0.000 0.500 0.819 1

=====

2.
# KScCoBr6 | the Alexandria database | PBE | relaxed
# Formation energy from raw total energies, kcal/mol of atoms: -28.3
# DOS at the Fermi energy, states/eV/f.u.: 1.1
data_KScCoBr6
_chemical_formula_sum 'K1 Sc1 Co1 Br6'
_cell_length_a 6.851
_cell_length_b 6.845
_cell_length_c 7.373
_cell_angle_alpha 90.34
_cell_angle_beta 90.17
_cell_angle_gamma 60.03
_symmetry_space_group_name_H-M 'P 1'
_symmetry_Int_Tables_number 1
_symmetry_space_group_name_Hall 'P 1'
loop_
_atom_site_label
_atom_site_fract_x
_atom_site_fract_y
_atom_site_fract_z
_atom_site_occupancy
K1 0.000 0.000 0.000 1
Sc1 0.333 0.334 0.500 1
Co1 0.666 0.667 0.500 1
Br1 0.994 0.381 0.292 1
Br2 0.375 0.994 0.704 1
Br3 0.632 0.375 0.705 1
Br4 0.994 0.625 0.708 1
Br5 0.375 0.631 0.296 1
Br6 0.632 0.993 0.295 1